VASP calculation (GGA-PBE) on a relaxed structure of Ba2PrOs3O12.

Unit cell a=7.4069 b=7.4069 c=16.4730 alpha=90.00 beta=90.00 gamma=120.00
With the nearest neighbours (Å) after each atom.
Space group R-3m (No. 166, hexagonal axes)
Unique sites:
Ba (0.0000, 0.0000, 0.1126) (multiplicity 6)  3 O 2.60
Pr (0.0000, 0.0000, 0.5000) (multiplicity 3)  6 O 2.52
Os (0.0000, 0.5000, 0.0000) (multiplicity 9)  6 O 1.89-1.97
O (0.0352, 0.5176, 0.8863) (multiplicity 18)  1 Os 1.89
O (0.0728, 0.5364, 0.3169) (multiplicity 18)  2 Os 1.97

Its theoretical density is 7.50 g/cm³. Its volume is 782.67 Å³ per cell. Its formation energy (no corrections) is -3034 kJ/mol of formula units.

VASP calculation (GGA-PBE) on a relaxed structure of ZnReBi3.

Unit cell a=5.3678 b=5.3678 c=5.3678 alpha=90.00 beta=90.00 gamma=90.00
With the nearest neighbours (Å) after each atom.
Space group Pm-3m (No. 221)
Unique sites:
Zn (0.0000, 0.0000, 0.0000) (multiplicity 1)  12 Bi 3.80
Re (0.5000, 0.5000, 0.5000) (multiplicity 1)  6 Bi 2.68
Bi (0.0000, 0.5000, 0.5000) (multiplicity 3)  2 Re 2.68

Its theoretical density is 9.43 g/cm³. The value obtained for the energy relative to the elements is 838 meV per atom. As for the distance to the lowest polymorph of the same formula: 0.000 eV/atom. Its volume is 154.66 Å³ per cell.

Results for total moment: 3.8, 0.0 (in μB per formula unit, following the order of the records).